# 1
Material: Dy2YEr
Method: DFT, PBE-GGA
State: optimized geometry

Calculated values
**Energy relative to the lowest polymorph listed for this composition**: 130 meV per atom
**ΔE_f**: 140 meV per atom
**SG**: Fm-3m, No. 225
**Total energy**: -4.917 eV/atom

```
4
Lattice="5.655 0.000 0.000 2.827 4.897 0.000 2.827 1.632 4.617" Properties=species:S:1:pos:R:3 pbc="T T T"
Y 5.655 3.265 2.309
Dy 2.827 1.632 1.154
Dy 8.482 4.897 3.463
Er 0.000 0.000 0.000
```



# 2
Material: CsTl2AuCl5
Method: DFT, PBE-GGA
State: optimized geometry

Calculated values
**E_form (uncorrected)**: -0.92 eV/atom
**SG**: I4/mcm, No. 140
**Total energy**: -2.931 eV/atom

```
18
Lattice="-0.497 8.386 1.740 -8.182 0.051 -2.579 2.060 -5.847 7.619" Properties=species:S:1:pos:R:3 pbc="T T T"
Cs -1.140 -0.815 3.600
Cs -5.479 3.404 3.181
Tl -2.740 1.490 -0.531
Tl -1.773 5.675 0.723
Tl -6.905 2.761 -1.561
Tl -5.938 6.946 -0.308
Au -5.231 -0.789 2.311
Au -1.388 3.378 4.470
Cl -3.934 6.724 2.544
Cl -0.627 1.768 6.223
Cl -2.685 -4.135 4.236
Cl 1.304 -2.435 5.883
Cl -4.616 0.069 4.576
Cl -7.923 5.024 0.897
Cl -2.003 2.520 2.205
Cl -5.992 0.821 0.557
Cl -4.339 4.218 -0.419
Cl 0.000 0.000 0.000
```



# 3
Material: TaAl2W
Method: DFT, PBE-GGA
State: optimized geometry

Calculated values
**Energy relative to the lowest polymorph listed for this composition**: 134 meV per atom
**ΔE_f**: -16 meV per atom
**SG**: F-43m, No. 216
**Total energy**: -8.089 eV/atom

```
4
Lattice="-1.446 0.927 -4.154 2.785 -0.443 -3.500 -0.620 -3.327 -2.959" Properties=species:S:1:pos:R:3 pbc="T T T"
Al 0.000 0.000 0.000
Al 0.180 -0.711 -2.653
W 0.540 -2.132 -7.959
Ta 0.360 -1.421 -5.306
```



# 4
Material: MgTaSe2
Method: DFT, PBE-GGA
State: optimized geometry

Calculated values
**E_form (uncorrected)**: -0.47 eV/atom
**SG**: P2/m, No. 10
**Total energy**: -5.573 eV/atom

```
4
Lattice="3.301 0.000 0.000 0.000 3.299 -0.157 0.000 3.037 6.564" Properties=species:S:1:pos:R:3 pbc="T T T"
Mg 1.651 4.751 4.806
Se 0.000 3.148 -0.011
Se 0.000 3.319 3.057
Ta 1.651 1.584 1.602
```